Entry from Alexandria: Ac4GeN after structural relaxation (PBE).

Summary:
**V**: 213.2 Å³ per cell
**Uncorrected formation energy**: -0.4819 eV per atom

Lattice parameters (Å, degrees): 6.954 4.135 7.434 90.00 94.41 90.00
Atoms (fractional coordinates):
Ac  0.218  0.000  0.374
Ac  0.237  0.500  0.802
Ac  0.763  0.500  0.198
Ac  0.782  0.000  0.626
Ge  0.000  0.000  0.000
N  0.000  0.500  0.500